{"formula": "HoLuMgSc", "functional": "GGA-PBE", "state": "optimized geometry", "space_group": "F-43m (216)", "e_form_kj_per_mol_atoms": 4, "cell": [[7.540, 0.000, 0.000], [0.000, 7.540, 0.000], [0.000, 0.000, 7.540]], "species": ["Ho", "Ho", "Ho", "Ho", "Lu", "Lu", "Lu", "Lu", "Mg", "Mg", "Mg", "Mg", "Sc", "Sc", "Sc", "Sc"], "frac_coords": [[0.000, 0.000, 0.000], [0.000, 0.500, 0.500], [0.500, 0.000, 0.500], [0.500, 0.500, 0.000], [0.000, 0.000, 0.500], [0.000, 0.500, 0.000], [0.500, 0.000, 0.000], [0.500, 0.500, 0.500], [0.250, 0.250, 0.750], [0.250, 0.750, 0.250], [0.750, 0.250, 0.250], [0.750, 0.750, 0.750], [0.250, 0.250, 0.250], [0.250, 0.750, 0.750], [0.750, 0.250, 0.750], [0.750, 0.750, 0.250]]}

---

{"formula": "RbBa4Tc3O12", "functional": "GGA-PBE", "state": "optimized geometry", "space_group": "Im-3m (229)", "e_tot_ev_per_cell": -136.986, "cell": [[-4.243, 4.243, 4.243], [4.243, -4.243, 4.243], [4.243, 4.243, -4.243]], "species": ["Rb", "Ba", "Ba", "Ba", "Ba", "Tc", "Tc", "Tc", "O", "O", "O", "O", "O", "O", "O", "O", "O", "O", "O", "O"], "frac_coords": [[0.000, 0.000, 0.000], [0.000, 0.000, 0.500], [0.000, 0.500, 0.000], [0.500, 0.000, 0.000], [0.500, 0.500, 0.500], [0.000, 0.500, 0.500], [0.500, 0.000, 0.500], [0.500, 0.500, 0.000], [0.000, 0.284, 0.284], [0.000, 0.716, 0.716], [0.250, 0.500, 0.750], [0.250, 0.750, 0.500], [0.284, 0.000, 0.284], [0.284, 0.284, 0.000], [0.500, 0.250, 0.750], [0.500, 0.750, 0.250], [0.716, 0.000, 0.716], [0.716, 0.716, 0.000], [0.750, 0.250, 0.500], [0.750, 0.500, 0.250]]}

---

{"formula": "Hf2BH", "functional": "GGA-PBE", "state": "optimized geometry", "relative_energy_kj_per_mol_fu": 137, "space_group": "Fm-3m (225)", "cell": [[5.869, 0.000, 0.000], [0.000, 5.869, 0.000], [0.000, 0.000, 5.869]], "species": ["Hf", "Hf", "Hf", "Hf", "Hf", "Hf", "Hf", "Hf", "B", "B", "B", "B", "H", "H", "H", "H"], "frac_coords": [[0.250, 0.250, 0.250], [0.250, 0.250, 0.750], [0.250, 0.750, 0.250], [0.250, 0.750, 0.750], [0.750, 0.250, 0.250], [0.750, 0.250, 0.750], [0.750, 0.750, 0.250], [0.750, 0.750, 0.750], [0.000, 0.000, 0.000], [0.000, 0.500, 0.500], [0.500, 0.000, 0.500], [0.500, 0.500, 0.000], [0.000, 0.000, 0.500], [0.000, 0.500, 0.000], [0.500, 0.000, 0.000], [0.500, 0.500, 0.500]]}

---

{"formula": "KPr2Pu3Te6", "functional": "GGA-PBE", "state": "optimized geometry", "space_group": "C2/m (12)", "e_tot_ev_per_cell": -87.153, "cell": [[9.887, -2.248, 0.000], [9.887, 2.248, 0.000], [-2.109, 0.000, 8.927]], "species": ["K", "Pr", "Pr", "Pu", "Pu", "Pu", "Te", "Te", "Te", "Te", "Te", "Te"], "frac_coords": [[0.000, 0.000, 0.000], [0.332, 0.332, 0.663], [0.668, 0.668, 0.337], [0.000, 0.000, 0.500], [0.336, 0.336, 0.166], [0.664, 0.664, 0.834], [0.165, 0.165, 0.590], [0.173, 0.173, 0.085], [0.500, 0.500, 0.266], [0.500, 0.500, 0.734], [0.827, 0.827, 0.915], [0.835, 0.835, 0.410]]}

---

{"formula": "Ba2NpSnTe5", "functional": "GGA-PBE", "state": "optimized geometry", "space_group": "Cmc2_1 (36)", "e_tot_ev_per_cell": -91.284, "cell": [[2.365, -9.921, 0.000], [2.365, 9.921, 0.000], [0.000, 0.000, 14.538]], "species": ["Ba", "Ba", "Ba", "Ba", "Np", "Np", "Sn", "Sn", "Te", "Te", "Te", "Te", "Te", "Te", "Te", "Te", "Te", "Te"], "frac_coords": [[0.110, 0.890, 0.500], [0.137, 0.863, 0.127], [0.863, 0.137, 0.627], [0.890, 0.110, 0.000], [0.210, 0.790, 0.834], [0.790, 0.210, 0.334], [0.465, 0.535, 0.267], [0.535, 0.465, 0.767], [0.058, 0.942, 0.890], [0.284, 0.716, 0.473], [0.318, 0.682, 0.192], [0.365, 0.635, 0.815], [0.489, 0.511, 0.573], [0.511, 0.489, 0.073], [0.635, 0.365, 0.315], [0.682, 0.318, 0.692], [0.716, 0.284, 0.973], [0.942, 0.058, 0.390]]}

---

{"formula": "Cs2HoPaS4", "functional": "GGA-PBE", "state": "optimized geometry", "space_group": "P2/m (10)", "e_tot_ev_per_cell": -45.189, "cell": [[7.090, 0.000, 0.000], [0.000, 4.066, 0.000], [-2.328, 0.000, 8.117]], "species": ["Cs", "Cs", "Ho", "Pa", "S", "S", "S", "S"], "frac_coords": [[0.000, 0.000, 0.000], [0.500, 0.500, 0.000], [0.000, 0.500, 0.500], [0.500, 0.000, 0.500], [0.228, 0.000, 0.682], [0.270, 0.500, 0.316], [0.730, 0.500, 0.684], [0.772, 0.000, 0.318]]}